# SrCr2Sb

An optimized crystal structure of SrCr2Sb (PBEsol, the Alexandria database).

## Properties
SG = F-43m, No. 216
raw formation energy = 450.5 meV/atom
energy = -6.2699 eV/atom

Cell lengths 4.999, 4.999, 4.999 Å; angles 60.00, 60.00, 60.00 degrees
Atoms (fractional coordinates):
Sb 0.500 0.500 0.500
Sr 0.250 0.250 0.250
Cr 0.000 0.000 0.000
Cr 0.750 0.750 0.750



# Dy4Ge6Ir7

An optimized crystal structure of Dy4Ge6Ir7 (PBEsol, the Alexandria database).

## Properties
energy of formation from the pure elements = -0.908 eV per atom
SG = Im-3m, No. 229
energy = -7.8679 eV/atom

Cell lengths 7.184, 7.184, 7.184 Å; angles 109.47, 109.47, 109.47 degrees
Atoms (fractional coordinates):
Ge 0.683 0.000 0.683
Ge 0.000 0.683 0.683
Ge 0.683 0.683 0.000
Ge 0.000 0.317 0.317
Ge 0.317 0.000 0.317
Ge 0.317 0.317 0.000
Ir 0.000 0.000 0.000
Ir 0.250 0.750 0.500
Ir 0.750 0.250 0.500
Ir 0.250 0.500 0.750
Ir 0.500 0.750 0.250
Ir 0.750 0.500 0.250
Ir 0.500 0.250 0.750
Dy 0.000 0.000 0.500
Dy 0.500 0.000 0.000
Dy 0.000 0.500 0.000
Dy 0.500 0.500 0.500



# Y5Bi3

An optimized crystal structure of Y5Bi3 (PBEsol, the Alexandria database).

## Properties
energy of formation from the pure elements = -0.791 eV per atom
SG = Pnma, No. 62
energy = -6.6620 eV/atom

Cell lengths 8.141, 9.403, 11.891 Å; angles 90.00, 90.00, 90.00 degrees
Atoms (fractional coordinates):
Y 0.814 0.250 0.279
Y 0.806 0.439 0.559
Y 0.526 0.750 0.512
Y 0.306 0.439 0.941
Y 0.686 0.750 0.779
Y 0.186 0.750 0.721
Y 0.026 0.750 0.988
Y 0.306 0.061 0.941
Y 0.194 0.561 0.441
Y 0.974 0.250 0.012
Y 0.694 0.939 0.059
Y 0.853 0.750 0.286
Y 0.194 0.939 0.441
Y 0.694 0.561 0.059
Y 0.647 0.250 0.786
Y 0.806 0.061 0.559
Y 0.314 0.250 0.221
Y 0.474 0.250 0.488
Y 0.147 0.250 0.714
Y 0.353 0.750 0.214
Bi 0.434 0.004 0.674
Bi 0.066 0.504 0.174
Bi 0.911 0.750 0.543
Bi 0.411 0.750 0.957
Bi 0.934 0.004 0.826
Bi 0.434 0.496 0.674
Bi 0.089 0.250 0.457
Bi 0.566 0.504 0.326
Bi 0.934 0.496 0.826
Bi 0.589 0.250 0.043
Bi 0.066 0.996 0.174
Bi 0.566 0.996 0.326



> Which formula does entry 2 have?

Dy4Ge6Ir7



> Which value of energy does entry 3 give?

-6.6620 eV/atom